This record from the Alexandria database describes crystalline Co2ReSn at its relaxed geometry. The functional is GGA-PBE.

Its total moment is 0.35 μB per formula unit. The calculation puts the calculated formation energy at 757.9 meV per atom.

The space group is I-42d (No. 122) and the conventional cell measures 3.991, 3.991 and 16.190 Å, with angles of 90.00, 90.00 and 90.00 degrees. The asymmetric unit holds Co at (0.203, 0.250, 0.125), Re at (0.000, 0.000, 0.000) and Sn at (0.000, 0.000, 0.500).

This record from the Alexandria database describes crystalline YPH2 at its relaxed geometry. The functional is GGA-PBE.

Its total moment is 0.00 μB per formula unit. The final energy is -4.89 eV/atom.

The space group is I-42d (No. 122) and the conventional cell measures 3.936, 3.936 and 13.357 Å, with angles of 90.00, 90.00 and 90.00 degrees. The asymmetric unit holds Y at (0.000, 0.000, 0.000), P at (0.000, 0.000, 0.500) and H at (0.212, 0.250, 0.625).